# 1
{"formula": "KNa2SrPd", "functional": "GGA-PBE", "state": "relaxed", "formation_energy_mev_per_atom": -61, "energy_ev_per_cell": -10.91, "cell": [[5.9262, 0.0000, 0.0000], [0.0000, 5.9262, 0.0000], [0.0000, 0.0000, 5.7776]], "species": ["K", "Na", "Na", "Sr", "Pd"], "fractional_positions": [[0.0000, 0.0000, 0.0000], [0.0000, 0.5000, 0.5000], [0.5000, 0.0000, 0.5000], [0.5000, 0.5000, 0.0000], [0.5000, 0.5000, 0.5000]]}



# 2
{"formula": "KNaSr2Pd", "functional": "GGA-PBE", "state": "relaxed", "formation_energy_mev_per_atom": -129, "energy_ev_per_cell": -11.62, "cell": [[5.9775, 0.0000, 0.0000], [0.0000, 5.9775, 0.0000], [0.0000, 0.0000, 6.4764]], "species": ["K", "Na", "Sr", "Sr", "Pd"], "fractional_positions": [[0.0000, 0.0000, 0.0000], [0.5000, 0.5000, 0.0000], [0.0000, 0.5000, 0.5000], [0.5000, 0.0000, 0.5000], [0.0000, 0.0000, 0.5000]]}



# 3
{"formula": "K2NaTlPd", "functional": "GGA-PBE", "state": "relaxed", "formation_energy_mev_per_atom": -20, "energy_ev_per_cell": -11.18, "cell": [[6.2155, 0.0000, 0.0000], [0.0000, 6.2155, 0.0000], [0.0000, 0.0000, 5.3786]], "species": ["K", "K", "Na", "Tl", "Pd"], "fractional_positions": [[0.0000, 0.5000, 0.0000], [0.5000, 0.0000, 0.0000], [0.0000, 0.0000, 0.5000], [0.5000, 0.5000, 0.5000], [0.5000, 0.5000, 0.0000]]}



# 4
{"formula": "KNaTl2Pd", "functional": "GGA-PBE", "state": "relaxed", "formation_energy_mev_per_atom": -48, "energy_ev_per_cell": -12.58, "cell": [[5.3759, 0.0000, 0.0000], [0.0000, 5.3759, 0.0000], [0.0000, 0.0000, 6.0187]], "species": ["K", "Na", "Tl", "Tl", "Pd"], "fractional_positions": [[0.0000, 0.0000, 0.0000], [0.5000, 0.5000, 0.0000], [0.0000, 0.5000, 0.5000], [0.5000, 0.0000, 0.5000], [0.0000, 0.0000, 0.5000]]}



# 5
{"formula": "K2Na6TlPd", "functional": "GGA-PBE", "state": "relaxed", "formation_energy_mev_per_atom": -14, "energy_ev_per_cell": -17.81, "cell": [[7.7880, 0.0000, 0.0000], [3.8603, 7.1504, 0.0000], [3.8758, -1.7630, 7.0061]], "species": ["K", "K", "Na", "Na", "Na", "Na", "Na", "Na", "Tl", "Pd"], "fractional_positions": [[0.0000, 0.0000, 0.0000], [0.0123, 0.4405, 0.5350], [0.1291, 0.9191, 0.4731], [0.1783, 0.4203, 0.9638], [0.5331, 0.5142, 0.0565], [0.5414, 0.4604, 0.5303], [0.5496, 0.9740, 0.9992], [0.5828, 0.0103, 0.5610], [0.6749, 0.7131, 0.2605], [0.6779, 0.2150, 0.7624]]}



# 6
{"formula": "KNaTl2Pd", "functional": "GGA-PBE", "state": "relaxed", "formation_energy_mev_per_atom": -137, "energy_ev_per_cell": -13.03, "cell": [[5.3596, 0.0000, 0.0000], [0.0000, 5.3596, 0.0000], [0.0000, 0.0000, 5.6530]], "species": ["K", "Na", "Tl", "Tl", "Pd"], "fractional_positions": [[0.0000, 0.0000, 0.0000], [0.5000, 0.5000, 0.0000], [0.0000, 0.5000, 0.5000], [0.5000, 0.0000, 0.5000], [0.5000, 0.5000, 0.5000]]}



# 7
{"formula": "KNa2TlPd2", "functional": "GGA-PBE", "state": "relaxed", "formation_energy_mev_per_atom": -27, "energy_ev_per_cell": -16.65, "cell": [[5.2789, 0.0000, 0.0000], [0.0000, 5.2789, 0.0000], [0.0000, 0.0000, 6.8540]], "species": ["K", "Na", "Na", "Tl", "Pd", "Pd"], "fractional_positions": [[0.0000, 0.0000, 0.0000], [0.5000, 0.5000, 0.2827], [0.5000, 0.5000, 0.7173], [0.0000, 0.0000, 0.5000], [0.0000, 0.5000, 0.5000], [0.5000, 0.0000, 0.5000]]}



# 8
{"formula": "KNaTl3Pd", "functional": "GGA-PBE", "state": "relaxed", "formation_energy_mev_per_atom": -69, "energy_ev_per_cell": -30.24, "cell": [[3.3296, -8.0164, 0.0000], [3.3296, 8.0164, 0.0000], [0.0000, 0.0000, 6.7311]], "species": ["K", "K", "Na", "Na", "Tl", "Tl", "Tl", "Tl", "Tl", "Tl", "Pd", "Pd"], "fractional_positions": [[0.2105, 0.7895, 0.7500], [0.7895, 0.2105, 0.2500], [0.1422, 0.8578, 0.2500], [0.8578, 0.1422, 0.7500], [0.2437, 0.2437, 0.0000], [0.2437, 0.2437, 0.5000], [0.3520, 0.6480, 0.2500], [0.6480, 0.3520, 0.7500], [0.7563, 0.7563, 0.0000], [0.7563, 0.7563, 0.5000], [0.4067, 0.5933, 0.7500], [0.5933, 0.4067, 0.2500]]}



# 9
{"formula": "KNaV2Pd", "functional": "GGA-PBE", "state": "relaxed", "formation_energy_mev_per_atom": 827, "energy_ev_per_cell": -21.71, "cell": [[4.9250, 0.0000, 0.0000], [0.0000, 4.9250, 0.0000], [0.0000, 0.0000, 5.6856]], "species": ["K", "Na", "V", "V", "Pd"], "fractional_positions": [[0.0000, 0.0000, 0.0000], [0.5000, 0.5000, 0.0000], [0.0000, 0.5000, 0.5000], [0.5000, 0.0000, 0.5000], [0.5000, 0.5000, 0.5000]]}



# 10
{"formula": "KNa2ZnPd", "functional": "GGA-PBE", "state": "relaxed", "formation_energy_mev_per_atom": -46, "energy_ev_per_cell": -10.43, "cell": [[5.5859, 0.0000, 0.0000], [0.0000, 5.5859, 0.0000], [0.0000, 0.0000, 4.9672]], "species": ["K", "Na", "Na", "Zn", "Pd"], "fractional_positions": [[0.0000, 0.0000, 0.0000], [0.0000, 0.5000, 0.5000], [0.5000, 0.0000, 0.5000], [0.5000, 0.5000, 0.0000], [0.5000, 0.5000, 0.5000]]}



# 11
{"formula": "KNaZn2Pd", "functional": "GGA-PBE", "state": "relaxed", "formation_energy_mev_per_atom": -109, "energy_ev_per_cell": -10.70, "cell": [[4.9813, 0.0000, 0.0000], [0.0000, 4.9813, 0.0000], [0.0000, 0.0000, 5.4255]], "species": ["K", "Na", "Zn", "Zn", "Pd"], "fractional_positions": [[0.0000, 0.0000, 0.0000], [0.5000, 0.5000, 0.0000], [0.0000, 0.5000, 0.5000], [0.5000, 0.0000, 0.5000], [0.5000, 0.5000, 0.5000]]}



# 12
{"formula": "KNa2Pm", "functional": "GGA-PBE", "state": "relaxed", "formation_energy_mev_per_atom": 282, "energy_ev_per_cell": -22.08, "cell": [[3.6666, 0.0000, 0.0000], [-1.8333, 3.1754, 0.0000], [0.0000, 0.0000, 42.8471]], "species": ["K", "K", "K", "Na", "Na", "Na", "Na", "Na", "Na", "Pm", "Pm", "Pm"], "fractional_positions": [[0.0000, 0.0000, 0.0000], [0.3333, 0.6667, 0.6667], [0.6667, 0.3333, 0.3333], [0.0000, 0.0000, 0.4192], [0.0000, 0.0000, 0.5808], [0.3333, 0.6667, 0.0859], [0.3333, 0.6667, 0.2475], [0.6667, 0.3333, 0.7525], [0.6667, 0.3333, 0.9141], [0.0000, 0.0000, 0.5000], [0.3333, 0.6667, 0.1667], [0.6667, 0.3333, 0.8333]]}